Entry 1:
LiMn2F5, optimized geometry, DFT PBE+U; calculated total energy = -5.9821 eV/atom
1.0
-5.239 -3.315 -4.842
-6.391 -4.230 1.774
-8.979 4.963 -0.878
Li Mn F
4 8 20
direct
0.699 0.939 0.318
0.061 0.301 0.182
0.939 0.699 0.818
0.301 0.061 0.682
0.778 0.506 0.643
0.118 0.734 0.018
0.266 0.882 0.482
0.506 0.778 0.143
0.494 0.222 0.857
0.734 0.118 0.518
0.882 0.266 0.982
0.222 0.494 0.357
0.879 0.991 0.139
0.113 0.271 0.541
0.462 0.802 0.610
0.087 0.498 0.215
0.502 0.913 0.285
0.642 0.359 0.879
0.641 0.358 0.621
0.009 0.121 0.361
0.271 0.113 0.041
0.198 0.538 0.890
0.802 0.462 0.110
0.729 0.887 0.959
0.991 0.879 0.639
0.359 0.642 0.379
0.358 0.641 0.121
0.498 0.087 0.715
0.913 0.502 0.785
0.538 0.198 0.390
0.887 0.729 0.459
0.121 0.009 0.861

Entry 2:
Li2MnF4, optimized geometry, DFT PBE+U; calculated total energy = -5.4973 eV/atom
1.0
-3.242 -0.334 -0.162
0.347 -0.946 -5.009
0.891 -9.563 1.867
Li Mn F
4 2 8
direct
0.500 0.984 0.317
0.500 0.516 0.817
0.500 0.484 0.183
0.500 0.016 0.683
0.000 0.000 0.000
0.000 0.500 0.500
0.000 0.674 0.871
0.000 0.174 0.629
0.500 0.847 0.126
0.500 0.347 0.374
0.500 0.653 0.626
0.500 0.153 0.874
0.000 0.826 0.371
0.000 0.326 0.129

Entry 3:
Li2MnF4, optimized geometry, DFT PBE+U; calculated total energy = -5.4515 eV/atom
1.0
-4.537 -1.374 2.305
2.922 -3.959 3.390
1.333 6.600 6.559
Li Mn F
8 4 16
direct
0.000 0.000 0.000
0.000 0.500 0.000
0.457 0.750 0.783
0.957 0.250 0.717
0.500 0.000 0.500
0.500 0.500 0.500
0.043 0.750 0.283
0.543 0.250 0.217
0.463 0.250 0.842
0.963 0.750 0.658
0.037 0.250 0.342
0.537 0.750 0.158
0.688 0.750 0.950
0.818 0.250 0.928
0.183 0.991 0.805
0.183 0.509 0.805
0.683 0.491 0.695
0.683 0.009 0.695
0.318 0.750 0.572
0.188 0.250 0.550
0.812 0.750 0.450
0.682 0.250 0.428
0.317 0.991 0.305
0.317 0.509 0.305
0.817 0.491 0.195
0.817 0.009 0.195
0.182 0.750 0.072
0.312 0.250 0.050

Entry 4:
LiMnF4, optimized geometry, DFT PBE+U; calculated total energy = -5.4285 eV/atom
1.0
4.937 0.000 0.000
0.000 7.514 0.006
0.000 1.711 7.476
Li Mn F
4 4 16
direct
0.237 0.150 0.136
0.263 0.650 0.136
0.737 0.350 0.864
0.763 0.850 0.864
0.748 0.314 0.317
0.752 0.814 0.317
0.248 0.186 0.683
0.252 0.686 0.683
0.561 0.303 0.095
0.939 0.803 0.095
0.051 0.413 0.194
0.449 0.913 0.194
0.920 0.064 0.310
0.580 0.564 0.310
0.446 0.198 0.445
0.054 0.698 0.445
0.946 0.302 0.555
0.554 0.802 0.555
0.420 0.436 0.690
0.080 0.936 0.690
0.551 0.087 0.806
0.949 0.587 0.806
0.061 0.197 0.905
0.439 0.697 0.905

Entry 5:
LiMnF4, optimized geometry, DFT PBE+U; calculated total energy = -5.3937 eV/atom
1.0
6.800 0.025 0.029
-1.524 8.237 -0.034
-2.740 -1.771 9.275
Li Mn F
6 6 24
direct
0.010 0.026 0.271
0.177 0.606 0.344
0.467 0.678 0.869
0.533 0.322 0.131
0.823 0.394 0.656
0.990 0.974 0.729
0.028 0.693 0.992
0.246 0.314 0.574
0.464 0.902 0.222
0.536 0.098 0.778
0.754 0.686 0.426
0.972 0.307 0.008
0.028 0.820 0.853
0.040 0.742 0.427
0.042 0.553 0.135
0.174 0.897 0.185
0.257 0.112 0.739
0.313 0.493 0.723
0.485 0.897 0.828
0.212 0.122 0.445
0.272 0.445 0.433
0.444 0.734 0.333
0.329 0.717 0.025
0.251 0.314 0.026
0.749 0.686 0.974
0.671 0.283 0.975
0.556 0.266 0.667
0.728 0.555 0.567
0.788 0.878 0.555
0.515 0.103 0.172
0.687 0.507 0.277
0.743 0.888 0.261
0.826 0.103 0.815
0.958 0.447 0.865
0.960 0.258 0.573
0.972 0.180 0.147

Entry 6:
Li3Mn5F15, optimized geometry, DFT PBE+U; calculated total energy = -5.7377 eV/atom
1.0
-0.003 -9.526 8.906
11.331 -4.411 -4.714
1.959 2.348 2.512
Li Mn F
6 10 30
direct
0.000 0.000 0.609
0.663 0.163 0.603
0.163 0.337 0.603
0.500 0.500 0.609
0.837 0.663 0.603
0.337 0.837 0.603
0.500 0.000 0.604
0.213 0.079 0.605
0.921 0.213 0.605
0.421 0.287 0.605
0.713 0.421 0.605
0.000 0.500 0.604
0.287 0.579 0.605
0.579 0.713 0.605
0.079 0.787 0.605
0.787 0.921 0.605
0.500 0.000 0.104
0.660 0.016 0.604
0.868 0.063 0.606
0.215 0.081 0.105
0.063 0.132 0.606
0.516 0.160 0.604
0.919 0.215 0.105
0.266 0.234 0.605
0.766 0.266 0.605
0.419 0.285 0.105
0.016 0.340 0.604
0.563 0.368 0.606
0.715 0.419 0.105
0.368 0.437 0.606
0.160 0.484 0.604
0.000 0.500 0.104
0.840 0.516 0.604
0.632 0.563 0.606
0.285 0.581 0.105
0.437 0.632 0.606
0.984 0.660 0.604
0.581 0.715 0.105
0.234 0.734 0.605
0.734 0.766 0.605
0.081 0.785 0.105
0.484 0.840 0.604
0.937 0.868 0.606
0.785 0.919 0.105
0.132 0.937 0.606
0.340 0.984 0.604

Entry 7:
LiMn2F5, optimized geometry, DFT PBE+U; calculated total energy = -5.9910 eV/atom
1.0
6.962 0.000 0.000
0.000 6.237 -0.293
0.000 0.569 9.246
Li Mn F
4 8 20
direct
0.106 0.892 0.121
0.394 0.392 0.121
0.606 0.608 0.879
0.894 0.108 0.879
0.639 0.951 0.148
0.861 0.451 0.148
0.618 0.255 0.470
0.118 0.245 0.530
0.882 0.755 0.470
0.382 0.745 0.530
0.139 0.549 0.852
0.361 0.049 0.852
0.347 0.036 0.094
0.913 0.129 0.095
0.153 0.536 0.094
0.587 0.629 0.095
0.608 0.269 0.238
0.892 0.769 0.238
0.343 0.433 0.429
0.914 0.398 0.386
0.157 0.933 0.429
0.586 0.898 0.386
0.414 0.102 0.614
0.843 0.067 0.571
0.086 0.602 0.614
0.657 0.567 0.571
0.108 0.231 0.762
0.392 0.731 0.762
0.413 0.371 0.905
0.847 0.464 0.906
0.087 0.871 0.905
0.653 0.964 0.906

Entry 8:
Li2MnF6, optimized geometry, DFT PBE+U; calculated total energy = -5.0182 eV/atom
1.0
6.554 0.004 -0.097
-4.582 4.687 -0.097
0.294 0.700 8.432
Mn Li F
2 4 12
direct
0.147 0.853 0.250
0.853 0.147 0.750
0.440 0.743 0.525
0.257 0.560 0.975
0.743 0.440 0.025
0.560 0.257 0.475
0.254 0.158 0.350
0.060 0.546 0.154
0.914 0.621 0.423
0.379 0.086 0.077
0.454 0.940 0.346
0.842 0.746 0.150
0.158 0.254 0.850
0.546 0.060 0.654
0.621 0.914 0.923
0.086 0.379 0.577
0.940 0.454 0.846
0.746 0.842 0.650

Entry 9:
LiMnF4, optimized geometry, DFT PBE+U; calculated total energy = -5.3254 eV/atom
1.0
-4.505 -2.671 -2.349
3.324 -1.813 -4.313
1.192 -0.014 4.743
Li Mn F
1 1 4
direct
0.750 0.250 0.500
0.500 0.500 0.000
0.399 0.831 0.106
0.707 0.275 0.106
0.169 0.293 0.894
0.725 0.601 0.894

Entry 10:
LiMnF4, optimized geometry, DFT PBE+U; calculated total energy = -5.4611 eV/atom
1.0
4.722 0.000 0.000
0.000 5.523 -0.002
0.000 2.312 5.329
Li Mn F
2 2 8
direct
0.500 0.500 0.000
0.000 0.500 0.500
0.000 0.000 0.000
0.500 0.000 0.500
0.217 0.851 0.359
0.182 0.326 0.857
0.783 0.149 0.641
0.717 0.149 0.141
0.283 0.851 0.859
0.818 0.674 0.143
0.318 0.326 0.357
0.682 0.674 0.643

Entry 11:
LiMnF4, optimized geometry, DFT PBE+U; calculated total energy = -5.4033 eV/atom
1.0
-4.898 -4.234 -4.419
-1.814 -6.690 -3.661
-8.069 -8.546 5.147
Li Mn F
4 4 16
direct
0.196 0.196 0.840
0.354 0.354 0.300
0.646 0.646 0.700
0.804 0.804 0.160
0.963 0.963 0.870
0.859 0.859 0.651
0.141 0.141 0.349
0.037 0.037 0.130
0.482 0.482 0.849
0.923 0.923 0.743
0.826 0.826 0.998
0.338 0.338 0.681
0.709 0.709 0.803
0.795 0.795 0.564
0.892 0.892 0.256
0.108 0.108 0.744
0.205 0.205 0.436
0.291 0.291 0.197
0.662 0.662 0.319
0.174 0.174 0.002
0.000 0.000 0.500
0.077 0.077 0.257
0.518 0.518 0.151
0.000 0.000 0.000

Entry 12:
LiMnF4, optimized geometry, DFT PBE+U; calculated total energy = -5.4437 eV/atom
1.0
5.550 0.000 0.000
0.000 4.618 -0.027
0.000 0.442 5.323
Li Mn F
2 2 8
direct
0.353 0.500 0.750
0.647 0.500 0.250
0.844 0.000 0.750
0.156 0.000 0.250
0.098 0.771 0.908
0.902 0.771 0.408
0.618 0.745 0.902
0.382 0.745 0.402
0.618 0.255 0.598
0.382 0.255 0.098
0.098 0.229 0.592
0.902 0.229 0.092

Entry 13:
Li2Mn3F10, optimized geometry, DFT PBE+U; calculated total energy = -5.5756 eV/atom
1.0
3.054 9.316 -0.057
-3.054 9.316 -0.057
0.000 2.631 7.566
Li Mn F
4 6 20
direct
0.562 0.562 0.572
0.711 0.711 0.459
0.289 0.289 0.541
0.438 0.438 0.428
0.086 0.086 0.512
0.817 0.817 0.004
0.183 0.183 0.996
0.914 0.914 0.488
0.247 0.753 0.000
0.753 0.247 0.000
0.520 0.520 0.825
0.025 0.025 0.814
0.143 0.143 0.242
0.419 0.865 0.534
0.865 0.419 0.534
0.336 0.865 0.996
0.865 0.336 0.996
0.786 0.786 0.247
0.214 0.214 0.753
0.135 0.664 0.004
0.664 0.135 0.004
0.000 0.500 0.000
0.500 0.000 0.000
0.581 0.135 0.466
0.135 0.581 0.466
0.857 0.857 0.758
0.975 0.975 0.186
0.480 0.480 0.175
0.764 0.236 0.500
0.236 0.764 0.500

Entry 14:
Li2MnF4, optimized geometry, DFT PBE+U; calculated total energy = -5.4224 eV/atom
1.0
4.365 0.000 0.000
0.000 4.365 0.000
0.000 0.000 5.032
Li Mn F
2 1 4
direct
0.000 0.500 0.500
0.500 0.000 0.500
0.000 0.000 0.000
0.238 0.762 0.721
0.238 0.238 0.279
0.762 0.238 0.721
0.762 0.762 0.279